(1)
VASP calculation (PBE-GGA) on a relaxed structure of BaZn3Ir.

Cell lengths 6.174, 11.241, 6.250 Å; angles 90.00, 90.00, 90.00 degrees
Atoms (fractional coordinates):
Zn: 0.491 0.124 0.487
Zn: 0.213 0.750 0.295
Zn: 0.009 0.624 0.987
Zn: 0.991 0.376 0.013
Zn: 0.713 0.750 0.205
Zn: 0.491 0.376 0.487
Zn: 0.509 0.624 0.513
Zn: 0.287 0.250 0.795
Zn: 0.509 0.876 0.513
Zn: 0.991 0.124 0.013
Zn: 0.787 0.250 0.705
Zn: 0.009 0.876 0.987
Ir: 0.774 0.250 0.284
Ir: 0.226 0.750 0.716
Ir: 0.726 0.750 0.784
Ir: 0.274 0.250 0.216
Ba: 0.500 0.000 0.000
Ba: 0.000 0.500 0.500
Ba: 0.500 0.500 0.000
Ba: 0.000 0.000 0.500

Calculated values
ΔE to the lowest computed polymorph ... 1.051 eV per formula unit
Total magnetic moment ... 0.0 μB/f.u.
E_form ... -0.129 eV per atom



(2)
VASP calculation (PBE-GGA) on a relaxed structure of BaZnIr.

Cell lengths 4.634, 4.635, 8.319 Å; angles 89.89, 89.94, 90.09 degrees
Atoms (fractional coordinates):
Ba: 0.313 0.366 0.199
Ba: 0.814 0.867 0.640
Zn: 0.814 0.866 0.046
Zn: 0.313 0.367 0.794
Ir: 0.813 0.367 0.920
Ir: 0.314 0.866 0.920

Calculated values
Total magnetic moment ... 0.0 μB/f.u.
E_form ... -0.162 eV per atom



(3)
VASP calculation (PBE-GGA) on a relaxed structure of BaZn2Ir.

Cell lengths 3.489, 3.489, 7.398 Å; angles 90.00, 90.00, 90.00 degrees
Each line ends with the local moment (μB).
Atoms (fractional coordinates):
Ba: 0.000 0.000 0.527  0.01
Zn: 0.500 0.500 0.177  0.01
Zn: 0.000 0.000 0.958  0.00
Ir: 0.500 0.500 0.838  0.26

Calculated values
Total magnetic moment ... 0.3 μB/f.u.
E_form ... 0.022 eV per atom



(4)
VASP calculation (PBE-GGA) on a relaxed structure of BaZn3Ir.

Cell lengths 3.762, 7.688, 7.688 Å; angles 142.01, 90.00, 90.00 degrees
Atoms (fractional coordinates):
Ba: 0.500 0.092 0.908
Zn: 0.000 0.293 0.707
Zn: 0.500 0.645 0.873
Zn: 0.500 0.127 0.355
Ir: 0.000 0.471 0.529

Calculated values
ΔE to the lowest computed polymorph ... 2.693 eV per formula unit
Total magnetic moment ... 0.0 μB/f.u.
E_form ... 0.199 eV per atom



(5)
VASP calculation (PBE-GGA) on a relaxed structure of BaZn2Ir.

Cell lengths 4.400, 4.400, 6.261 Å; angles 69.32, 69.32, 60.06 degrees
Atoms (fractional coordinates):
Zn: 0.056 0.056 0.833
Zn: 0.444 0.444 0.667
Ir: 0.750 0.750 0.750
Ba: 0.250 0.250 0.250

Calculated values
Total magnetic moment ... 0.0 μB/f.u.
E_form ... -0.250 eV per atom



(6)
VASP calculation (PBE-GGA) on a relaxed structure of BaZn4Ir.

Cell lengths 5.395, 5.395, 5.395 Å; angles 60.00, 60.00, 60.00 degrees
Atoms (fractional coordinates):
Zn: 0.372 0.372 0.883
Zn: 0.372 0.883 0.372
Zn: 0.372 0.372 0.372
Zn: 0.883 0.372 0.372
Ir: 0.000 0.000 0.000
Ba: 0.750 0.750 0.750

Calculated values
ΔE to the lowest computed polymorph ... 0.620 eV per formula unit
Total magnetic moment ... 0.0 μB/f.u.
E_form ... 0.062 eV per atom



(7)
VASP calculation (PBE-GGA) on a relaxed structure of Ba2Zn5Ir.

Cell lengths 6.180, 6.180, 7.005 Å; angles 116.18, 116.17, 89.99 degrees
Atoms (fractional coordinates):
Ba: 0.782 0.282 0.564
Ba: 0.282 0.782 0.564
Zn: 0.283 0.779 0.062
Zn: 0.669 0.669 0.338
Zn: 0.779 0.283 0.062
Zn: 0.283 0.283 0.062
Zn: 0.779 0.779 0.062
Ir: 0.920 0.920 0.840

Calculated values
Total magnetic moment ... 0.0 μB/f.u.
E_form ... -0.155 eV per atom



(8)
VASP calculation (PBE-GGA) on a relaxed structure of BaZn3Ir.

Cell lengths 23.563, 6.984, 8.804 Å; angles 90.00, 160.83, 90.00 degrees
Atoms (fractional coordinates):
Zn: 0.396 0.540 0.351
Zn: 0.604 0.460 0.649
Zn: 0.747 0.106 0.214
Zn: 0.104 0.040 0.149
Zn: 0.753 0.606 0.286
Zn: 0.623 0.112 0.612
Zn: 0.253 0.894 0.786
Zn: 0.123 0.388 0.112
Zn: 0.247 0.394 0.714
Zn: 0.877 0.612 0.888
Zn: 0.896 0.960 0.851
Zn: 0.377 0.888 0.388
Ba: 0.037 0.240 0.496
Ba: 0.463 0.740 0.004
Ba: 0.963 0.760 0.504
Ba: 0.537 0.260 0.996
Ir: 0.576 0.815 0.662
Ir: 0.076 0.685 0.162
Ir: 0.424 0.185 0.338
Ir: 0.924 0.315 0.838

Calculated values
ΔE to the lowest computed polymorph ... 0.962 eV per formula unit
Total magnetic moment ... 0.0 μB/f.u.
E_form ... -0.147 eV per atom



(9)
VASP calculation (PBE-GGA) on a relaxed structure of BaZn2Ir.

Cell lengths 4.940, 4.940, 9.390 Å; angles 74.75, 74.75, 90.00 degrees
Atoms (fractional coordinates):
Ir: 0.000 0.000 0.000
Ir: 0.750 0.250 0.500
Zn: 0.375 0.125 0.750
Zn: 0.875 0.625 0.250
Zn: 0.875 0.125 0.750
Zn: 0.875 0.125 0.250
Ba: 0.500 0.500 0.000
Ba: 0.250 0.750 0.500

Calculated values
Total magnetic moment ... 0.0 μB/f.u.
E_form ... -0.116 eV per atom



(10)
VASP calculation (PBE-GGA) on a relaxed structure of BaZn3Ir.

Cell lengths 4.306, 4.306, 18.931 Å; angles 90.00, 90.00, 120.00 degrees
Atoms (fractional coordinates):
Ba: 0.000 0.000 0.000
Ba: 0.000 0.000 0.500
Zn: 0.000 0.000 0.750
Zn: 0.333 0.667 0.877
Zn: 0.333 0.667 0.623
Zn: 0.000 0.000 0.250
Zn: 0.667 0.333 0.377
Zn: 0.667 0.333 0.123
Ir: 0.667 0.333 0.250
Ir: 0.333 0.667 0.750

Calculated values
ΔE to the lowest computed polymorph ... 3.313 eV per formula unit
Total magnetic moment ... 0.0 μB/f.u.
E_form ... 0.323 eV per atom



(11)
VASP calculation (PBE-GGA) on a relaxed structure of BaZn2Ir.

Cell lengths 5.489, 5.489, 5.489 Å; angles 136.66, 118.54, 78.17 degrees
Atoms (fractional coordinates):
Ir: 0.250 0.750 0.500
Zn: 0.431 0.431 0.000
Zn: 0.069 0.069 0.000
Ba: 0.750 0.250 0.500

Calculated values
Total magnetic moment ... 0.0 μB/f.u.
E_form ... 0.037 eV per atom



(12)
VASP calculation (PBE-GGA) on a relaxed structure of BaZn2Ir2.

Cell lengths 4.299, 4.299, 6.287 Å; angles 70.01, 70.01, 90.00 degrees
Atoms (fractional coordinates):
Zn: 0.375 0.375 0.249
Zn: 0.625 0.625 0.751
Ir: 0.250 0.750 0.500
Ir: 0.750 0.250 0.500
Ba: 0.000 0.000 0.000

Calculated values
ΔE to the lowest computed polymorph ... 0.674 eV per formula unit
Total magnetic moment ... 0.0 μB/f.u.
E_form ... -0.057 eV per atom



(13)
VASP calculation (PBE-GGA) on a relaxed structure of BaZn3Ir.

Cell lengths 5.123, 8.555, 6.053 Å; angles 90.00, 101.48, 90.00 degrees
Atoms (fractional coordinates):
Ir: 0.980 0.250 0.931
Ir: 0.020 0.750 0.069
Zn: 0.740 0.510 0.934
Zn: 0.260 0.010 0.066
Zn: 0.462 0.250 0.874
Zn: 0.740 0.990 0.934
Zn: 0.538 0.750 0.126
Zn: 0.260 0.490 0.066
Ba: 0.169 0.750 0.588
Ba: 0.831 0.250 0.412

Calculated values
ΔE to the lowest computed polymorph ... 0.720 eV per formula unit
Total magnetic moment ... 0.0 μB/f.u.
E_form ... -0.196 eV per atom



(14)
VASP calculation (PBE-GGA) on a relaxed structure of BaZn4Ir.

Cell lengths 4.847, 4.847, 7.149 Å; angles 90.00, 90.00, 90.00 degrees
Atoms (fractional coordinates):
Zn: 0.500 0.500 0.169
Zn: 0.000 0.500 0.500
Zn: 0.500 0.000 0.500
Zn: 0.500 0.500 0.831
Ir: 0.500 0.500 0.500
Ba: 0.000 0.000 0.000

Calculated values
ΔE to the lowest computed polymorph ... 0.000 eV per formula unit
Total magnetic moment ... 0.0 μB/f.u.
E_form ... -0.041 eV per atom



(15)
VASP calculation (PBE-GGA) on a relaxed structure of Ba3Zn2Ir.

Cell lengths 4.546, 13.644, 13.500 Å; angles 90.00, 90.00, 90.00 degrees
Atoms (fractional coordinates):
Ba: 0.750 0.203 0.285
Ba: 0.250 0.054 0.890
Ba: 0.250 0.129 0.566
Ba: 0.250 0.797 0.715
Ba: 0.750 0.554 0.610
Ba: 0.250 0.446 0.390
Ba: 0.250 0.703 0.215
Ba: 0.750 0.946 0.110
Ba: 0.750 0.629 0.934
Ba: 0.750 0.297 0.785
Ba: 0.750 0.871 0.434
Ba: 0.250 0.371 0.066
Zn: 0.250 0.482 0.782
Zn: 0.750 0.180 0.046
Zn: 0.750 0.518 0.218
Zn: 0.750 0.982 0.718
Zn: 0.250 0.018 0.282
Zn: 0.250 0.820 0.954
Zn: 0.750 0.320 0.546
Zn: 0.250 0.680 0.454
Ir: 0.250 0.133 0.128
Ir: 0.750 0.633 0.372
Ir: 0.250 0.367 0.628
Ir: 0.750 0.867 0.872

Calculated values
Total magnetic moment ... 0.0 μB/f.u.
E_form ... -0.223 eV per atom



(16)
VASP calculation (PBE-GGA) on a relaxed structure of BaZnIr3.

Cell lengths 5.135, 5.135, 5.135 Å; angles 90.00, 90.00, 90.00 degrees
Each line ends with the local moment (μB).
Atoms (fractional coordinates):
Ba: 0.000 0.000 0.000  -0.02
Ir: 0.500 0.000 0.000  0.31
Ir: 0.000 0.000 0.500  0.22
Ir: 0.000 0.500 0.000  0.35
Zn: 0.500 0.500 0.500  -0.01

Calculated values
ΔE to the lowest computed polymorph ... 9.529 eV per formula unit
Total magnetic moment ... 0.8 μB/f.u.
E_form ... 2.764 eV per atom



(17)
VASP calculation (PBE-GGA) on a relaxed structure of BaZnIr.

Cell lengths 4.997, 6.957, 6.519 Å; angles 122.22, 112.55, 89.99 degrees
Atoms (fractional coordinates):
Ba: 0.444 0.864 0.672
Ba: 0.944 0.364 0.672
Ir: 0.444 0.864 0.172
Ir: 0.944 0.864 0.172
Zn: 0.694 0.530 0.172
Zn: 0.194 0.198 0.173

Calculated values
Total magnetic moment ... 0.0 μB/f.u.
E_form ... -0.128 eV per atom



(18)
VASP calculation (PBE-GGA) on a relaxed structure of BaZn3Ir.

Cell lengths 6.790, 6.592, 6.824 Å; angles 84.95, 114.52, 60.55 degrees
Atoms (fractional coordinates):
Zn: 0.585 0.216 0.765
Zn: 0.484 0.436 0.065
Zn: 0.471 0.921 0.971
Zn: 0.249 0.800 0.641
Zn: 0.757 0.149 0.497
Zn: 0.318 0.601 0.359
Ba: 0.882 0.592 0.604
Ba: 0.118 0.246 0.208
Ir: 0.099 0.881 0.937
Ir: 0.835 0.967 0.197

Calculated values
ΔE to the lowest computed polymorph ... 0.725 eV per formula unit
Total magnetic moment ... 0.0 μB/f.u.
E_form ... -0.195 eV per atom



(19)
VASP calculation (PBE-GGA) on a relaxed structure of BaZrIr2.

Cell lengths 5.157, 5.157, 3.277 Å; angles 90.00, 90.00, 95.56 degrees
Atoms (fractional coordinates):
Ir: 0.500 0.500 0.000
Ir: 0.000 0.000 0.000
Ba: 0.000 0.500 0.500
Zr: 0.500 0.000 0.500

Calculated values
ΔE to the lowest computed polymorph ... 2.076 eV per formula unit
Total magnetic moment ... 0.0 μB/f.u.
E_form ... 0.150 eV per atom



(20)
VASP calculation (PBE-GGA) on a relaxed structure of BaZr2Ir.

Cell lengths 5.107, 5.107, 3.361 Å; angles 90.00, 90.00, 90.00 degrees
Atoms (fractional coordinates):
Zr: 0.000 0.000 0.000
Zr: 0.500 0.500 0.000
Ir: 0.000 0.500 0.500
Ba: 0.500 0.000 0.500

Calculated values
ΔE to the lowest computed polymorph ... 2.319 eV per formula unit
Total magnetic moment ... 0.0 μB/f.u.
E_form ... 0.415 eV per atom



(21)
VASP calculation (PBE-GGA) on a relaxed structure of BaZr2Ir.

Cell lengths 4.338, 4.338, 7.766 Å; angles 73.78, 73.78, 60.00 degrees
Atoms (fractional coordinates):
Zr: 0.711 0.711 0.867
Zr: 0.954 0.954 0.138
Ba: 0.504 0.504 0.487
Ir: 0.331 0.331 0.007

Calculated values
ΔE to the lowest computed polymorph ... 0.000 eV per formula unit
Total magnetic moment ... 0.0 μB/f.u.
E_form ... -0.164 eV per atom



(22)
VASP calculation (PBE-GGA) on a relaxed structure of BaZrIr2.

Cell lengths 7.665, 7.665, 6.353 Å; angles 52.90, 52.90, 90.00 degrees
Atoms (fractional coordinates):
Ir: 0.579 0.125 0.250
Ir: 0.171 0.625 0.250
Ir: 0.375 0.421 0.750
Ir: 0.875 0.829 0.750
Ba: 0.000 0.000 0.000
Ba: 0.750 0.250 0.500
Zr: 0.500 0.500 0.000
Zr: 0.250 0.750 0.500

Calculated values
ΔE to the lowest computed polymorph ... 2.086 eV per formula unit
Total magnetic moment ... 0.0 μB/f.u.
E_form ... 0.152 eV per atom



(23)
VASP calculation (PBE-GGA) on a relaxed structure of BaZr2Ir.

Cell lengths 5.045, 4.356, 4.356 Å; angles 90.00, 90.00, 90.00 degrees
Atoms (fractional coordinates):
Ba: 0.500 0.500 0.000
Zr: 0.000 0.000 0.000
Zr: 0.000 0.500 0.500
Ir: 0.500 0.000 0.500

Calculated values
ΔE to the lowest computed polymorph ... 2.575 eV per formula unit
Total magnetic moment ... 0.0 μB/f.u.
E_form ... 0.479 eV per atom



(24)
VASP calculation (PBE-GGA) on a relaxed structure of BaZrIr2.

Cell lengths 3.132, 3.969, 7.788 Å; angles 90.00, 90.00, 90.00 degrees
Each line ends with the local moment (μB).
Atoms (fractional coordinates):
Ir: 0.500 0.500 0.250  0.00
Ir: 0.000 0.000 0.061  0.00
Zr: 0.000 0.000 0.388  0.05
Ba: 0.500 0.500 0.800  0.03

Calculated values
ΔE to the lowest computed polymorph ... 1.979 eV per formula unit
Total magnetic moment ... 0.2 μB/f.u.
E_form ... 0.126 eV per atom



(25)
VASP calculation (PBE-GGA) on a relaxed structure of BaZr2Ir.

Cell lengths 7.913, 7.913, 7.913 Å; angles 31.55, 31.55, 31.55 degrees
Atoms (fractional coordinates):
Ir: 0.750 0.750 0.750
Ba: 0.250 0.250 0.250
Zr: 0.039 0.039 0.039
Zr: 0.461 0.461 0.461

Calculated values
ΔE to the lowest computed polymorph ... 0.126 eV per formula unit
Total magnetic moment ... 0.0 μB/f.u.
E_form ... -0.133 eV per atom